The following is a GGA-PBEsol calculation of crystalline Th at its relaxed geometry, from Alexandria via LeMat-Bulk.

mass density	12.50	g cm⁻³
total magnetization	0.00	μB per atom
E_tot	-8.062	eV per atom
energy above the lowest structure with this stoichiometry	45	meV per atom

Cell lengths 3.4674, 3.4674, 5.9207 Å; angles 90.00, 90.00, 120.00 degrees
With the nearest neighbours (Å) after each atom.
Space group P6_3/mmc (No. 194)
Symmetry-distinct sites (fractional):
Th1 0.3333 0.6667 0.2500 (multiplicity 2)  12 Th 3.47-3.57

=====

The following is a GGA-PBEsol calculation of crystalline ThZn4 at its relaxed geometry, from Alexandria via LeMat-Bulk.

mass density	9.10	g cm⁻³
total magnetization	0.00	μB per atom
E_tot	-3.178	eV per atom

Cell lengths 4.2232, 4.2232, 10.1041 Å; angles 90.00, 90.00, 90.00 degrees
With the nearest neighbours (Å) after each atom.
Space group I4/mmm (No. 139)
Symmetry-distinct sites (fractional):
Th1 0.0000 0.0000 0.0000 (multiplicity 2)  16 Zn 3.22-3.29
Zn1 0.0000 0.0000 0.3815 (multiplicity 4)  5 Zn 2.39-2.50
Zn2 0.0000 0.5000 0.2500 (multiplicity 4)  4 Zn 2.50

=====

The following is a GGA-PBEsol calculation of crystalline Th2Zn at its relaxed geometry, from Alexandria via LeMat-Bulk.

mass density	11.38	g cm⁻³
total magnetization	0.00	μB per atom
E_tot	-6.077	eV per atom

Cell lengths 7.5034, 7.5034, 5.4877 Å; angles 90.00, 90.00, 90.00 degrees
With the nearest neighbours (Å) after each atom.
Space group I4/mcm (No. 140)
Symmetry-distinct sites (fractional):
Th1 0.1585 0.3415 0.0000 (multiplicity 8)  4 Zn 3.14, 3 Th 3.36
Zn1 0.0000 0.0000 0.2500 (multiplicity 4)  2 Zn 2.74

=====

The following is a GGA-PBEsol calculation of crystalline Th2Zn17 at its relaxed geometry, from Alexandria via LeMat-Bulk.

mass density	8.81	g cm⁻³
total magnetization	0.00	μB per atom
E_tot	-2.507	eV per atom

Cell lengths 8.8950, 8.8950, 13.0011 Å; angles 90.00, 90.00, 120.00 degrees
With the nearest neighbours (Å) after each atom.
Space group R-3m (No. 166, hexagonal axes)
Symmetry-distinct sites (fractional):
Th1 0.0000 0.0000 0.1621 (multiplicity 6)  19 Zn 3.11-3.40
Zn1 0.0000 0.0000 0.4011 (multiplicity 6)  7 Zn 2.57-2.82
Zn2 0.0000 0.2917 0.5000 (multiplicity 18)  8 Zn 2.55-2.72
Zn3 0.0000 0.5000 0.0000 (multiplicity 9)  10 Zn 2.55-2.71
Zn4 0.0067 0.5034 0.6532 (multiplicity 18)  9 Zn 2.54-2.82

=====

The following is a GGA-PBEsol calculation of crystalline Ti at its relaxed geometry, from Alexandria via LeMat-Bulk.

mass density	4.79	g cm⁻³
total magnetization	0.00	μB per atom
E_tot	-8.253	eV per atom
energy above the lowest structure with this stoichiometry	70	meV per atom

Cell lengths 4.0495, 4.0495, 4.0495 Å; angles 90.00, 90.00, 90.00 degrees
With the nearest neighbours (Å) after each atom.
Space group Fm-3m (No. 225)
Symmetry-distinct sites (fractional):
Ti1 0.0000 0.0000 0.0000 (multiplicity 4)  12 Ti 2.86

=====

The following is a GGA-PBEsol calculation of crystalline Ti at its relaxed geometry, from Alexandria via LeMat-Bulk.

mass density	4.85	g cm⁻³
total magnetization	0.00	μB per atom
E_tot	-8.322	eV per atom
energy above the lowest structure with this stoichiometry	0	meV per atom

Cell lengths 4.5092, 4.5092, 2.7941 Å; angles 90.00, 90.00, 120.00 degrees
With the nearest neighbours (Å) after each atom.
Space group P6/mmm (No. 191)
Symmetry-distinct sites (fractional):
Ti1 0.0000 0.0000 0.0000 (multiplicity 1)  14 Ti 2.79-2.95
Ti2 0.3333 0.6667 0.5000 (multiplicity 2)  5 Ti 2.60-2.79

=====

The following is a GGA-PBEsol calculation of crystalline Ti at its relaxed geometry, from Alexandria via LeMat-Bulk.

mass density	4.77	g cm⁻³
total magnetization	0.00	μB per atom
E_tot	-8.308	eV per atom
energy above the lowest structure with this stoichiometry	15	meV per atom

Cell lengths 2.8971, 2.8971, 4.5841 Å; angles 90.00, 90.00, 120.00 degrees
With the nearest neighbours (Å) after each atom.
Space group P6_3/mmc (No. 194)
Symmetry-distinct sites (fractional):
Ti1 0.3333 0.6667 0.2500 (multiplicity 2)  12 Ti 2.84-2.90

=====

The following is a GGA-PBEsol calculation of crystalline Ti3Tl at its relaxed geometry, from Alexandria via LeMat-Bulk.

mass density	8.24	g cm⁻³
total magnetization	0.00	μB per atom
E_tot	-6.948	eV per atom

Cell lengths 4.0138, 4.0138, 8.7073 Å; angles 90.00, 90.00, 90.00 degrees
With the nearest neighbours (Å) after each atom.
Space group I4/mmm (No. 139)
Symmetry-distinct sites (fractional):
Ti1 0.0000 0.0000 0.0000 (multiplicity 2)  4 Tl 2.84, 8 Ti 2.96
Ti2 0.0000 0.5000 0.2500 (multiplicity 4)  8 Ti 2.84-2.96, 4 Tl 2.96
Tl1 0.0000 0.0000 0.5000 (multiplicity 2)  12 Ti 2.84-2.96